# 1
The following is a GGA-PBE calculation of a geometry-optimized AgPtBr2 structure, from Alexandria via LeMat-Bulk.

Uncorrected formation energy (eV/atom): 0.237
Excess energy over the best structure of this formula in the dataset (meV/atom): 182.6

```
4
Lattice="3.618 0.000 0.000 0.000 3.894 0.000 0.000 0.000 7.212" Properties=species:S:1:pos:R:3 pbc="T T T"
Ag 0.000 0.000 0.000
Pt 1.809 0.000 3.606
Br 0.000 1.947 3.606
Br 1.809 1.947 0.000
```

# 2
The following is a GGA-PBE calculation of a geometry-optimized AgPtBr2 structure, from Alexandria via LeMat-Bulk.

Uncorrected formation energy (eV/atom): 0.486
Excess energy over the best structure of this formula in the dataset (meV/atom): 431.1

```
4
Lattice="0.000 3.483 3.483 3.483 0.000 3.483 3.483 3.483 0.000" Properties=species:S:1:pos:R:3 pbc="T T T"
Ag 0.000 0.000 0.000
Pt 3.483 3.483 3.483
Br 1.742 1.742 1.742
Br 5.225 5.225 5.225
```

# 3
The following is a GGA-PBE calculation of a geometry-optimized Ag2PtBr6 structure, from Alexandria via LeMat-Bulk.

Uncorrected formation energy (eV/atom): -0.303

```
18
Lattice="7.016 0.000 0.000 0.000 6.560 0.000 -7.007 0.000 11.527" Properties=species:S:1:pos:R:3 pbc="T T T"
Ag 0.002 0.006 2.102
Ag -3.502 3.274 7.866
Ag 3.510 3.287 3.662
Ag 0.007 6.554 9.425
Pt 3.508 0.000 0.000
Pt 0.004 3.280 5.764
Br -1.090 4.687 3.975
Br -4.593 5.153 9.738
Br 1.484 1.465 0.002
Br -2.020 1.816 5.765
Br -1.098 4.702 7.535
Br 2.405 5.139 1.772
Br -2.397 1.421 9.756
Br 1.107 1.859 3.992
Br 2.028 4.745 5.762
Br -1.475 5.096 11.526
Br 4.602 1.407 1.789
Br 1.098 1.873 7.553
```

# 4
The following is a GGA-PBE calculation of a geometry-optimized Ag3PtBr7 structure, from Alexandria via LeMat-Bulk.

Uncorrected formation energy (eV/atom): -0.276

```
11
Lattice="6.564 -4.033 0.000 6.564 4.033 0.000 -4.273 0.000 6.519" Properties=species:S:1:pos:R:3 pbc="T T T"
Ag 0.000 0.000 0.000
Ag 4.878 1.872 3.750
Ag 4.878 -1.872 3.750
Pt 5.939 0.000 0.312
Br 0.726 1.785 5.348
Br 3.872 0.000 1.724
Br 6.882 1.833 1.772
Br 0.726 -1.785 5.348
Br 3.895 0.000 5.601
Br 6.882 -1.833 1.772
Br 9.977 0.000 4.034
```

# 5
The following is a GGA-PBE calculation of a geometry-optimized RbAgPtBr6 structure, from Alexandria via LeMat-Bulk.

Uncorrected formation energy (eV/atom): -0.607

```
9
Lattice="7.179 0.000 0.000 -3.589 6.217 0.000 0.000 0.000 7.430" Properties=species:S:1:pos:R:3 pbc="T T T"
Rb 0.000 0.000 0.000
Ag 0.000 4.145 3.715
Pt 3.589 2.072 3.715
Br 2.656 0.249 5.164
Br 1.544 2.175 2.266
Br 4.523 0.249 2.266
Br 2.477 3.792 5.164
Br 5.635 2.175 5.164
Br 4.701 3.792 2.266
```

# 6
The following is a GGA-PBE calculation of a geometry-optimized Rb2AgPtBr6 structure, from Alexandria via LeMat-Bulk.

Uncorrected formation energy (eV/atom): -0.856

```
20
Lattice="3.759 2.170 13.234 -3.759 2.170 13.234 0.000 -4.341 13.234" Properties=species:S:1:pos:R:3 pbc="T T T"
Rb 0.000 0.000 4.774
Rb 0.000 0.000 11.923
Rb 0.000 0.000 27.780
Rb 0.000 0.000 34.930
Ag 0.000 0.000 16.434
Ag 0.000 0.000 23.269
Pt 0.000 0.000 0.000
Pt 0.000 0.000 19.852
Br -1.839 -1.062 18.375
Br 0.000 -2.234 14.760
Br -1.935 1.117 14.760
Br -1.935 -1.117 24.943
Br 0.000 -2.123 21.328
Br -1.839 1.062 21.328
Br 1.839 -1.062 18.375
Br 0.000 2.123 18.375
Br 1.935 1.117 14.760
Br 1.935 -1.117 24.943
Br 0.000 2.234 24.943
Br 1.839 1.062 21.328
```

# 7
The following is a GGA-PBE calculation of a geometry-optimized Ag2RuPtBr structure, from Alexandria via LeMat-Bulk.

Uncorrected formation energy (eV/atom): 1.134

```
5
Lattice="5.234 0.000 0.000 0.000 5.234 0.000 0.000 0.000 4.661" Properties=species:S:1:pos:R:3 pbc="T T T"
Ag 0.000 2.617 0.000
Ag 2.617 0.000 0.000
Ru 0.000 0.000 0.000
Pt 0.000 0.000 2.330
Br 2.617 2.617 2.330
```

# 8
The following is a GGA-PBE calculation of a geometry-optimized AgPtSBr2 structure, from Alexandria via LeMat-Bulk.

Uncorrected formation energy (eV/atom): 0.209

```
5
Lattice="5.408 0.000 0.000 0.000 5.408 0.000 0.000 0.000 4.458" Properties=species:S:1:pos:R:3 pbc="T T T"
Ag 0.000 0.000 0.000
Pt 2.704 2.704 2.229
S 2.704 2.704 0.000
Br 0.000 2.704 2.229
Br 2.704 0.000 2.229
```